# 1
Density functional theory data (GGA-PBE) for a relaxed NaV2CrRh crystal.

* energy of formation from the pure elements: 2.1978 eV per atom
* spin magnetization: 5.3 μB per formula unit
* mass density: 5.4 Mg/m³
* DOS at the Fermi energy: 6.222 states/eV/f.u.

```
data_NaV2CrRh
_chemical_formula_sum 'Na1 V2 Cr1 Rh1'
_symmetry_space_group_name_H-M 'P 1'
_symmetry_Int_Tables_number 1
_cell_length_a 4.439
_cell_length_b 4.439
_cell_length_c 4.384
_cell_angle_alpha 90.00
_cell_angle_beta 90.00
_cell_angle_gamma 90.00
loop_
_symmetry_equiv_pos_as_xyz
'x,y,z'
loop_
_atom_site_label
_atom_site_type_symbol
_atom_site_fract_x
_atom_site_fract_y
_atom_site_fract_z
_atom_site_occupancy
Na1 Na 0.000 0.000 0.000 1
V1 V 0.000 0.500 0.000 1
V2 V 0.500 0.000 0.000 1
Cr1 Cr 0.500 0.500 0.500 1
Rh1 Rh 0.000 0.000 0.500 1
```

***

# 2
Density functional theory data (GGA-PBE) for a relaxed ErTh2 crystal.

* energy of formation from the pure elements: 0.2815 eV per atom
* spin magnetization: 0.0 μB per formula unit
* energy above the most stable polymorph in this dataset: 242 meV per atom
* mass density: 10.3 Mg/m³
* DOS at the Fermi energy: 4.600 states/eV/f.u.

```
data_ErTh2
_chemical_formula_sum 'Er2 Th4'
_symmetry_space_group_name_H-M 'P 1'
_symmetry_Int_Tables_number 1
_cell_length_a 6.600
_cell_length_b 6.600
_cell_length_c 6.600
_cell_angle_alpha 60.00
_cell_angle_beta 60.00
_cell_angle_gamma 60.00
loop_
_symmetry_equiv_pos_as_xyz
'x,y,z'
loop_
_atom_site_label
_atom_site_type_symbol
_atom_site_fract_x
_atom_site_fract_y
_atom_site_fract_z
_atom_site_occupancy
Er1 Er 0.125 0.125 0.125 1
Er2 Er 0.875 0.875 0.875 1
Th1 Th 0.000 0.500 0.500 1
Th2 Th 0.500 0.000 0.500 1
Th3 Th 0.500 0.500 0.000 1
Th4 Th 0.500 0.500 0.500 1
```